No. 1
# KRuRh2 | the Alexandria database | PBE | optimized geometry
data_KRuRh2
_chemical_formula_sum 'K1 Ru1 Rh2'
_cell_length_a 2.825
_cell_length_b 2.825
_cell_length_c 8.913
_cell_angle_alpha 90.00
_cell_angle_beta 90.00
_cell_angle_gamma 90.00
_symmetry_space_group_name_H-M 'P 4/m m m'
_symmetry_Int_Tables_number 123
_symmetry_space_group_name_Hall '-P 4 2'
loop_
_atom_site_label
_atom_site_fract_x
_atom_site_fract_y
_atom_site_fract_z
K1 0.000 0.000 0.000
Ru1 0.000 0.000 0.500
Rh1 0.500 0.500 0.305
# energy above the lowest structure with this stoichiometry = 0.00 eV/f.u.
# formation energy = 41.9 kJ per mole of atoms
# total energy = -5.84 eV/atom

No. 2
# Pm8PrSm6 | the Alexandria database | PBE | optimized geometry
data_Pm8PrSm6
_chemical_formula_sum 'Pm24 Pr3 Sm18'
_cell_length_a 9.4112
_cell_length_b 9.4112
_cell_length_c 20.3485
_cell_angle_alpha 90.00
_cell_angle_beta 90.00
_cell_angle_gamma 120.00
_symmetry_space_group_name_H-M 'R -3'
_symmetry_Int_Tables_number 148
_symmetry_space_group_name_Hall '-R 3'
loop_
_atom_site_label
_atom_site_fract_x
_atom_site_fract_y
_atom_site_fract_z
Pm1 0.0000 0.0000 0.0718
Pm2 0.0656 0.2458 0.6622
Pr1 0.0000 0.0000 0.5000
Sm1 0.0447 0.2461 0.1914
# formation energy = 14.2 kJ per mole of atoms
# total energy = -4.59 eV/atom

No. 3
# Cd2NiHCl | the Alexandria database | PBE | optimized geometry
data_Cd2NiHCl
_chemical_formula_sum 'Cd2 Ni1 H1 Cl1'
_cell_length_a 6.564
_cell_length_b 6.564
_cell_length_c 4.048
_cell_angle_alpha 90.00
_cell_angle_beta 90.00
_cell_angle_gamma 90.00
_symmetry_space_group_name_H-M 'P 4/m m m'
_symmetry_Int_Tables_number 123
_symmetry_space_group_name_Hall '-P 4 2'
loop_
_atom_site_label
_atom_site_fract_x
_atom_site_fract_y
_atom_site_fract_z
Cd1 0.000 0.500 0.000
Ni1 0.000 0.000 0.500
H1 0.500 0.500 0.500
Cl1 0.000 0.000 0.000
# total energy = -1.75 eV/atom

No. 4
# NaTb4NdS8 | the Alexandria database | PBE | optimized geometry
data_NaTb4NdS8
_chemical_formula_sum 'Na3 Tb12 Nd3 S24'
_cell_length_a 8.1463
_cell_length_b 8.1463
_cell_length_c 20.2366
_cell_angle_alpha 90.00
_cell_angle_beta 90.00
_cell_angle_gamma 120.00
_symmetry_space_group_name_H-M 'R 3 m'
_symmetry_Int_Tables_number 160
_symmetry_space_group_name_Hall 'R 3 -2"'
loop_
_atom_site_label
_atom_site_fract_x
_atom_site_fract_y
_atom_site_fract_z
Na1 0.0000 0.0000 0.0000
Tb1 0.0000 0.0000 0.2522
Tb2 0.1725 0.3449 0.4584
Nd1 0.0000 0.0000 0.6304
S1 0.0000 0.0000 0.3845
S2 0.0000 0.0000 0.8647
S3 0.0257 0.5129 0.3827
S4 0.1750 0.3500 0.2051
# total energy = -6.06 eV/atom
# uncorrected formation energy = -1944 meV/atom

No. 5
# AlIn2Sn | the Alexandria database | PBE | optimized geometry
data_AlIn2Sn
_chemical_formula_sum 'Al1 In2 Sn1'
_cell_length_a 4.910
_cell_length_b 4.910
_cell_length_c 4.176
_cell_angle_alpha 90.00
_cell_angle_beta 90.00
_cell_angle_gamma 90.00
_symmetry_space_group_name_H-M 'P 4/m m m'
_symmetry_Int_Tables_number 123
_symmetry_space_group_name_Hall '-P 4 2'
loop_
_atom_site_label
_atom_site_fract_x
_atom_site_fract_y
_atom_site_fract_z
Al1 0.000 0.000 0.000
In1 0.000 0.500 0.500
Sn1 0.500 0.500 0.000
# formation energy = 13.8 kJ per mole of atoms
# total energy = -3.16 eV/atom

No. 6
# Ta2CrRhC | the Alexandria database | PBE | optimized geometry
data_Ta2CrRhC
_chemical_formula_sum 'Ta2 Cr1 Rh1 C1'
_cell_length_a 4.307
_cell_length_b 4.307
_cell_length_c 3.770
_cell_angle_alpha 90.00
_cell_angle_beta 90.00
_cell_angle_gamma 90.00
_symmetry_space_group_name_H-M 'P 4/m m m'
_symmetry_Int_Tables_number 123
_symmetry_space_group_name_Hall '-P 4 2'
loop_
_atom_site_label
_atom_site_fract_x
_atom_site_fract_y
_atom_site_fract_z
Ta1 0.000 0.500 0.000
Cr1 0.000 0.000 0.500
Rh1 0.500 0.500 0.500
C1 0.000 0.000 0.000
# formation energy = -26.6 kJ per mole of atoms
# total energy = -10.26 eV/atom

No. 7
# CsLi2Hg2Cl7 | the Alexandria database | PBE | optimized geometry
data_CsLi2Hg2Cl7
_chemical_formula_sum 'Cs3 Li6 Hg6 Cl21'
_cell_length_a 7.2637
_cell_length_b 7.2637
_cell_length_c 34.0593
_cell_angle_alpha 90.00
_cell_angle_beta 90.00
_cell_angle_gamma 120.00
_symmetry_space_group_name_H-M 'R 3 2'
_symmetry_Int_Tables_number 155
_symmetry_space_group_name_Hall 'R 3 2"'
loop_
_atom_site_label
_atom_site_fract_x
_atom_site_fract_y
_atom_site_fract_z
Cs1 0.0000 0.0000 0.0000
Li1 0.0000 0.0000 0.4349
Hg1 0.0000 0.0000 0.2609
Cl1 0.0000 0.0000 0.5000
Cl2 0.0221 0.3095 0.4002
# total energy = -2.69 eV/atom
# uncorrected formation energy = -1173 meV/atom

No. 8
# Ta5Mo3 | the Alexandria database | PBE | optimized geometry
data_Ta5Mo3
_chemical_formula_sum 'Ta20 Mo12'
_cell_length_a 6.536
_cell_length_b 9.046
_cell_length_c 9.342
_cell_angle_alpha 90.00
_cell_angle_beta 90.00
_cell_angle_gamma 90.00
_symmetry_space_group_name_H-M 'F m m m'
_symmetry_Int_Tables_number 69
_symmetry_space_group_name_Hall '-F 2 2'
loop_
_atom_site_label
_atom_site_fract_x
_atom_site_fract_y
_atom_site_fract_z
Ta1 0.000 0.000 0.000
Ta2 0.000 0.250 0.250
Ta3 0.250 0.250 0.000
Mo1 0.000 0.000 0.500
Mo2 0.250 0.000 0.250
# energy above the lowest structure with this stoichiometry = 0.75 eV/f.u.
# formation energy = -7.6 kJ per mole of atoms
# total energy = -11.55 eV/atom

No. 9
# K3P2Pd4 | the Alexandria database | PBE | optimized geometry
data_K3P2Pd4
_chemical_formula_sum 'K6 P4 Pd8'
_cell_length_a 12.255
_cell_length_b 4.121
_cell_length_c 8.957
_cell_angle_alpha 90.00
_cell_angle_beta 110.25
_cell_angle_gamma 90.00
_symmetry_space_group_name_H-M 'C 1 2/m 1'
_symmetry_Int_Tables_number 12
_symmetry_space_group_name_Hall '-C 2y'
loop_
_atom_site_label
_atom_site_fract_x
_atom_site_fract_y
_atom_site_fract_z
K1 0.000 0.000 0.000
K2 0.126 0.500 0.377
P1 0.177 0.500 0.787
Pd1 0.093 0.000 0.648
Pd2 0.230 0.500 0.079
# formation energy = -33.2 kJ per mole of atoms
# total energy = -4.22 eV/atom

No. 10
# La3SmC8 | the Alexandria database | PBE | optimized geometry
data_La3SmC8
_chemical_formula_sum 'La6 Sm2 C16'
_cell_length_a 7.926
_cell_length_b 10.453
_cell_length_c 6.559
_cell_angle_alpha 90.00
_cell_angle_beta 127.14
_cell_angle_gamma 90.00
_symmetry_space_group_name_H-M 'C 1 m 1'
_symmetry_Int_Tables_number 8
_symmetry_space_group_name_Hall 'C -2y'
loop_
_atom_site_label
_atom_site_fract_x
_atom_site_fract_y
_atom_site_fract_z
La1 0.000 0.000 0.000
La2 0.000 0.250 0.500
Sm1 0.000 0.500 0.001
C1 0.060 0.500 0.676
C2 0.277 0.162 0.000
C3 0.366 0.000 0.473
C4 0.371 0.264 0.000
C5 0.385 0.500 0.324
C6 0.393 0.500 0.527
# formation energy = 12.7 kJ per mole of atoms
# total energy = -7.64 eV/atom

No. 11
# Cs3Li2Se2 | the Alexandria database | PBE | optimized geometry
data_Cs3Li2Se2
_chemical_formula_sum 'Cs12 Li8 Se8'
_cell_length_a 8.774
_cell_length_b 8.611
_cell_length_c 14.918
_cell_angle_alpha 90.00
_cell_angle_beta 90.00
_cell_angle_gamma 90.00
_symmetry_space_group_name_H-M 'P b c m'
_symmetry_Int_Tables_number 57
_symmetry_space_group_name_Hall '-P 2c 2b'
loop_
_atom_site_label
_atom_site_fract_x
_atom_site_fract_y
_atom_site_fract_z
Cs1 0.093 0.173 0.123
Cs2 0.406 0.653 0.750
Li1 0.373 0.525 0.070
Se1 0.226 0.002 0.750
Se2 0.458 0.250 0.000
# total energy = -2.73 eV/atom
# uncorrected formation energy = -826 meV/atom

No. 12
# RbLi2Ta | the Alexandria database | PBE | optimized geometry
data_RbLi2Ta
_chemical_formula_sum 'Rb4 Li8 Ta4'
_cell_length_a 8.327
_cell_length_b 8.327
_cell_length_c 7.030
_cell_angle_alpha 90.00
_cell_angle_beta 90.00
_cell_angle_gamma 90.00
_symmetry_space_group_name_H-M 'I -4 2 d'
_symmetry_Int_Tables_number 122
_symmetry_space_group_name_Hall 'I -4 2bw'
loop_
_atom_site_label
_atom_site_fract_x
_atom_site_fract_y
_atom_site_fract_z
Rb1 0.000 0.000 0.000
Li1 0.213 0.250 0.625
Ta1 0.000 0.000 0.500
# energy above the lowest structure with this stoichiometry = 0.25 eV/f.u.
# formation energy = 137.9 kJ per mole of atoms
# total energy = -2.73 eV/atom

No. 13
# NiHS | the Alexandria database | PBE | optimized geometry
data_NiHS
_chemical_formula_sum 'Ni2 H2 S2'
_cell_length_a 3.210
_cell_length_b 4.412
_cell_length_c 5.711
_cell_angle_alpha 108.89
_cell_angle_beta 90.13
_cell_angle_gamma 111.20
_symmetry_space_group_name_H-M 'P 1'
_symmetry_Int_Tables_number 1
_symmetry_space_group_name_Hall 'P 1'
loop_
_atom_site_label
_atom_site_fract_x
_atom_site_fract_y
_atom_site_fract_z
Ni1 0.000 0.000 0.000
Ni2 0.333 0.663 0.247
H1 0.620 0.244 0.721
H2 0.837 0.675 0.101
S1 0.452 0.906 0.705
S2 0.621 0.241 0.272
# total energy = -4.52 eV/atom

No. 14
# ZrMn3Os | the Alexandria database | PBE | optimized geometry
data_ZrMn3Os
_chemical_formula_sum 'Zr1 Mn3 Os1'
_cell_length_a 4.430
_cell_length_b 4.430
_cell_length_c 4.430
_cell_angle_alpha 90.00
_cell_angle_beta 90.00
_cell_angle_gamma 90.00
_symmetry_space_group_name_H-M 'P m -3 m'
_symmetry_Int_Tables_number 221
_symmetry_space_group_name_Hall '-P 4 2 3'
loop_
_atom_site_label
_atom_site_fract_x
_atom_site_fract_y
_atom_site_fract_z
Zr1 0.000 0.000 0.000
Mn1 0.000 0.500 0.500
Os1 0.500 0.500 0.500
# energy above the lowest structure with this stoichiometry = 0.00 eV/f.u.
# formation energy = 107.7 kJ per mole of atoms
# total energy = -8.34 eV/atom

No. 15
# Ce2PmThBi5 | the Alexandria database | PBE | optimized geometry
data_Ce2PmThBi5
_chemical_formula_sum 'Ce2 Pm1 Th1 Bi5'
_cell_length_a 5.749
_cell_length_b 5.749
_cell_length_c 12.044
_cell_angle_alpha 90.00
_cell_angle_beta 90.00
_cell_angle_gamma 90.00
_symmetry_space_group_name_H-M 'P 4/m m m'
_symmetry_Int_Tables_number 123
_symmetry_space_group_name_Hall '-P 4 2'
loop_
_atom_site_label
_atom_site_fract_x
_atom_site_fract_y
_atom_site_fract_z
Ce1 0.000 0.000 0.219
Pm1 0.500 0.500 0.500
Th1 0.500 0.500 0.000
Bi1 0.000 0.000 0.500
Bi2 0.000 0.500 0.000
Bi3 0.500 0.500 0.255
# formation energy = 5.3 kJ per mole of atoms
# total energy = -4.77 eV/atom